[1]
Compound: LiZn2Cd
Source: Alexandria via LeMat-Bulk
Functional: SCAN
Structure: single point on PBEsol structure

Computed properties:
- Total DFT energy (no corrections): -15.056 eV/atom
- Calculated volume: 62.25 Å³/cell
- DFT formation energy: -97 meV per atom

abc: 2.717 4.404 5.328
angles: 90.00 102.47 90.00
Positions (direct):
Zn1 0.219 0.000 0.271
Zn2 0.781 0.000 0.729
Li1 0.000 0.500 0.500
Cd1 0.500 0.500 0.000



[2]
Compound: In2AgSe3Br
Source: Alexandria via LeMat-Bulk
Functional: SCAN
Structure: single point on PBEsol structure

Computed properties:
- Total DFT energy (no corrections): -25.979 eV/atom
- Calculated volume: 364.93 Å³/cell
- Formation energy from raw total energies: -0.5742 eV per atom

abc: 7.945 7.945 7.945
angles: 61.30 61.30 61.30
Positions (direct):
Se1 0.784 0.242 0.242
Se2 0.216 0.758 0.758
Se3 0.758 0.758 0.216
Se4 0.758 0.216 0.758
Se5 0.242 0.784 0.242
Se6 0.242 0.242 0.784
Br1 0.258 0.258 0.258
Br2 0.742 0.742 0.742
Ag1 0.583 0.583 0.583
Ag2 0.417 0.417 0.417
In1 0.000 0.000 0.500
In2 0.500 0.000 0.000
In3 0.000 0.500 0.000
In4 0.000 0.000 0.000



[3]
Compound: Re2NiBr
Source: Alexandria via LeMat-Bulk
Functional: SCAN
Structure: single point on PBEsol structure

Computed properties:
- Total DFT energy (no corrections): -43.204 eV/atom
- Calculated volume: 59.02 Å³/cell
- Formation energy from raw total energies: 1.2526 eV per atom
- Energy relative to the lowest polymorph listed for this composition: 611.7 meV/atom

abc: 2.814 4.531 4.629
angles: 90.00 90.00 90.00
Positions (direct):
Re1 0.000 0.000 0.000
Re2 0.500 0.500 0.000
Ni1 0.000 0.500 0.500
Br1 0.500 0.000 0.500



[4]
Compound: CoAgMo2
Source: Alexandria via LeMat-Bulk
Functional: SCAN
Structure: single point on PBEsol structure

Computed properties:
- Total DFT energy (no corrections): -29.065 eV/atom
- Calculated volume: 57.16 Å³/cell
- DFT formation energy: 545 meV per atom

abc: 3.881 3.883 4.682
angles: 114.50 114.49 90.00
Positions (direct):
Co1 0.250 0.750 0.500
Mo1 0.000 0.000 0.000
Mo2 0.750 0.250 0.500
Ag1 0.500 0.500 0.000



[5]
Compound: ZnSb2P2O9
Source: Alexandria via LeMat-Bulk
Functional: SCAN
Structure: single point on PBEsol structure

Computed properties:
- Total DFT energy (no corrections): -13.743 eV/atom
- Calculated volume: 784.01 Å³/cell
- Formation energy from raw total energies: -1.9638 eV per atom

abc: 6.264 7.078 17.682
angles: 90.00 90.00 90.00
Positions (direct):
O1 0.510 0.761 0.645
O2 0.990 0.239 0.145
O3 0.220 0.490 0.035
O4 0.406 0.448 0.171
O5 0.521 0.166 0.072
O6 0.716 0.536 0.297
O7 0.021 0.334 0.928
O8 0.669 0.506 0.537
O9 0.472 0.311 0.434
O10 0.096 0.444 0.280
O11 0.594 0.948 0.329
O12 0.596 0.056 0.720
O13 0.028 0.689 0.934
O14 0.972 0.189 0.566
O15 0.784 0.464 0.797
O16 0.831 0.494 0.037
O17 0.938 0.416 0.409
O18 0.479 0.666 0.428
O19 0.979 0.834 0.572
O20 0.720 0.010 0.965
O21 0.490 0.261 0.855
O22 0.062 0.916 0.091
O23 0.010 0.739 0.355
O24 0.780 0.990 0.465
O25 0.438 0.084 0.591
O26 0.528 0.811 0.066
O27 0.094 0.552 0.671
O28 0.169 0.994 0.463
O29 0.904 0.944 0.220
O30 0.216 0.964 0.703
O31 0.284 0.036 0.203
O32 0.280 0.510 0.535
O33 0.906 0.052 0.829
O34 0.404 0.556 0.780
O35 0.331 0.006 0.963
O36 0.562 0.584 0.909
P1 0.519 0.990 0.019
P2 0.481 0.490 0.481
P3 0.019 0.510 0.981
P4 0.560 0.469 0.837
P5 0.440 0.969 0.663
P6 0.060 0.031 0.163
P7 0.981 0.010 0.519
P8 0.940 0.531 0.337
Sb1 0.901 0.011 0.346
Sb2 0.401 0.489 0.654
Sb3 0.455 0.702 0.314
Sb4 0.955 0.798 0.686
Sb5 0.599 0.989 0.846
Sb6 0.545 0.202 0.186
Sb7 0.099 0.511 0.154
Sb8 0.045 0.298 0.814
Zn1 0.529 0.558 0.020
Zn2 0.471 0.058 0.480
Zn3 0.029 0.942 0.980
Zn4 0.971 0.442 0.520



[6]
Compound: La4AsBrO8
Source: Alexandria via LeMat-Bulk
Functional: SCAN
Structure: single point on PBEsol structure

Computed properties:
- Total DFT energy (no corrections): -21.932 eV/atom
- Calculated volume: 947.05 Å³/cell
- Formation energy from raw total energies: -3.2230 eV per atom

abc: 8.367 8.367 13.529
angles: 90.00 90.00 90.00
Positions (direct):
O1 0.751 0.256 0.733
O2 0.000 0.500 0.762
O3 0.500 0.500 0.750
O4 0.836 0.086 0.500
O5 0.256 0.249 0.767
O6 0.744 0.751 0.767
O7 0.748 0.070 0.895
O8 0.748 0.070 0.105
O9 0.835 0.418 0.500
O10 0.086 0.164 0.000
O11 0.500 0.000 0.738
O12 0.418 0.165 0.000
O13 0.164 0.914 0.500
O14 0.744 0.751 0.233
O15 0.500 0.000 0.262
O16 0.249 0.744 0.733
O17 0.252 0.930 0.105
O18 0.249 0.744 0.267
O19 0.582 0.835 0.000
O20 0.000 0.000 0.250
O21 0.256 0.249 0.233
O22 0.070 0.252 0.605
O23 0.930 0.748 0.395
O24 0.751 0.256 0.267
O25 0.165 0.582 0.500
O26 0.914 0.836 0.000
O27 0.000 0.000 0.750
O28 0.000 0.500 0.238
O29 0.252 0.930 0.895
O30 0.500 0.500 0.250
O31 0.070 0.252 0.395
O32 0.930 0.748 0.605
La1 0.245 0.012 0.334
La2 0.755 0.988 0.666
La3 0.755 0.515 0.333
La4 0.012 0.755 0.834
La5 0.988 0.245 0.166
La6 0.485 0.755 0.167
La7 0.755 0.988 0.334
La8 0.245 0.485 0.667
La9 0.755 0.515 0.667
La10 0.245 0.012 0.666
La11 0.245 0.485 0.333
La12 0.515 0.245 0.167
La13 0.515 0.245 0.833
La14 0.012 0.755 0.166
La15 0.485 0.755 0.833
La16 0.988 0.245 0.834
Br1 0.556 0.747 0.500
Br2 0.253 0.556 0.000
Br3 0.444 0.253 0.500
Br4 0.747 0.444 0.000
As1 0.748 0.957 0.000
As2 0.957 0.252 0.500
As3 0.252 0.043 0.000
As4 0.043 0.748 0.500



[7]
Compound: CaCrFeRh2
Source: Alexandria via LeMat-Bulk
Functional: SCAN
Structure: single point on PBEsol structure

Computed properties:
- Total DFT energy (no corrections): -22.448 eV/atom
- Calculated volume: 88.08 Å³/cell
- DFT formation energy: 296 meV per atom

abc: 4.206 4.576 4.576
angles: 90.00 90.00 90.00
Positions (direct):
Fe1 0.000 0.000 0.000
Cr1 0.500 0.000 0.000
Rh1 0.000 0.000 0.500
Rh2 0.000 0.500 0.000
Ca1 0.500 0.500 0.500



[8]
Compound: NiAgPb2
Source: Alexandria via LeMat-Bulk
Functional: SCAN
Structure: single point on PBEsol structure

Computed properties:
- Total DFT energy (no corrections): -49.521 eV/atom
- Calculated volume: 83.11 Å³/cell
- DFT formation energy: 254 meV per atom
- Energy relative to the lowest polymorph listed for this composition: 17.7 meV/atom

abc: 3.395 3.395 8.552
angles: 78.55 78.55 60.00
Positions (direct):
Ni1 0.000 0.000 0.000
Pb1 0.260 0.260 0.220
Pb2 0.740 0.740 0.780
Ag1 0.500 0.500 0.500



[9]
Compound: Y2HgO4
Source: Alexandria via LeMat-Bulk
Functional: SCAN
Structure: single point on PBEsol structure

Computed properties:
- Total DFT energy (no corrections): -24.179 eV/atom
- Calculated volume: 204.02 Å³/cell
- Formation energy from raw total energies: -2.9253 eV per atom
- Energy relative to the lowest polymorph listed for this composition: 0.0 meV/atom

abc: 3.587 6.980 8.723
angles: 78.43 78.13 75.11
Positions (direct):
Y1 0.839 0.521 0.800
Y2 0.619 0.224 0.539
Y3 0.161 0.479 0.200
Y4 0.381 0.776 0.461
O1 0.234 0.146 0.386
O2 0.417 0.513 0.653
O3 0.966 0.786 0.283
O4 0.583 0.487 0.347
O5 0.798 0.351 0.054
O6 0.766 0.854 0.614
O7 0.202 0.649 0.946
O8 0.034 0.214 0.717
Hg1 0.113 0.935 0.839
Hg2 0.887 0.065 0.161



[10]
Compound: MgGeRhI2
Source: Alexandria via LeMat-Bulk
Functional: SCAN
Structure: single point on PBEsol structure

Computed properties:
- Total DFT energy (no corrections): -25.441 eV/atom
- Calculated volume: 153.10 Å³/cell
- Formation energy from raw total energies: 0.8222 eV per atom

abc: 4.926 5.575 5.575
angles: 90.00 90.00 90.00
Positions (direct):
I1 0.000 0.000 0.500
I2 0.000 0.500 0.000
Mg1 0.500 0.000 0.000
Rh1 0.500 0.500 0.500
Ge1 0.000 0.000 0.000



[11]
Compound: LiAl2Ag
Source: Alexandria via LeMat-Bulk
Functional: SCAN
Structure: single point on PBEsol structure

Computed properties:
- Total DFT energy (no corrections): -12.431 eV/atom
- Calculated volume: 63.42 Å³/cell
- DFT formation energy: -116 meV per atom
- Energy relative to the lowest polymorph listed for this composition: 69.7 meV/atom

abc: 2.809 4.494 5.030
angles: 90.00 93.11 90.00
Positions (direct):
Li1 0.500 0.500 0.000
Ag1 0.000 0.500 0.500
Al1 0.766 0.000 0.754
Al2 0.234 0.000 0.246



[12]
Compound: ZnRe2W
Source: Alexandria via LeMat-Bulk
Functional: SCAN
Structure: single point on PBEsol structure

Computed properties:
- Total DFT energy (no corrections): -56.099 eV/atom
- Calculated volume: 58.36 Å³/cell
- DFT formation energy: 251 meV per atom

abc: 2.794 3.835 5.447
angles: 90.00 90.00 90.00
Positions (direct):
Re1 0.000 0.000 0.260
Re2 0.000 0.000 0.740
Zn1 0.500 0.500 0.500
W1 0.500 0.500 0.000